First-principles (PBE-GGA) data for a relaxed YMnMo2 crystal, as listed in the Alexandria database.

Properties
N(E_F): 1.121 states/eV per atom
polymorph energy (0 for the lowest one): 0 meV per atom
energy of formation from the pure elements: 0.245 eV/atom

The structure in CIF format:
```
data_YMnMo2
_cell_length_a 3.218
_cell_length_b 3.218
_cell_length_c 7.132
_cell_angle_alpha 90.00
_cell_angle_beta 90.00
_cell_angle_gamma 90.00
_space_group_name_H-M_alt 'P 4 m m'
_space_group_IT_number 99
_space_group_name_Hall 'P 4 -2'
loop_
_atom_site_label
_atom_site_type_symbol
_atom_site_fract_x
_atom_site_fract_y
_atom_site_fract_z
Y1 Y 0.000 0.000 0.000
Mn1 Mn 0.500 0.500 0.306
Mo1 Mo 0.000 0.000 0.505
Mo2 Mo 0.500 0.500 0.704
```